A plane-wave DFT calculation with PBE-GGA was carried out for a geometry-optimized Tl3Hg2Pb3 structure.

POSCAR file:
```
Tl3Hg2Pb3
1.0
5.558 0.000 0.000
0.000 5.547 -0.345
-2.779 -2.141 7.846
Tl Hg Pb
3 2 3
Cartesian
2.779 0.155 2.073
2.779 2.773 -0.172
0.000 3.251 5.428
0.000 0.326 3.847
2.779 3.080 3.654
0.000 2.941 1.865
2.779 0.465 5.637
0.000 0.000 0.000
```

Computed properties:
ΔE_f (eV/atom): 0.011
Uncorrected energy (eV/atom): -2.343
Total moment (μB/f.u.): 0.00
Calculated volume (Å³/atom): 29.72
Space-group type: C2/m, No. 12
DOS(E_F) (states/eV/atom): 0.363
Theoretical density (kg/m3): 11424